A geometry-optimized SmSc2In structure. Source: Alexandria, functional PBE.

a = 3.4433 Å, b = 3.4433 Å, c = 8.6904 Å
α = 90.00°, β = 90.00°, γ = 90.00°
Closest atoms and distances in Å follow each position.
Space group P4/mmm (No. 123)
Symmetry-distinct sites (fractional):
Sm (0.0000, 0.0000, 0.0000) (multiplicity 1)  8 Sc 3.43, 4 Sm 3.44
Sc (0.5000, 0.5000, 0.2776) (multiplicity 2)  4 In 3.11, 4 Sm 3.43, 4 Sc 3.44
In (0.0000, 0.0000, 0.5000) (multiplicity 1)  8 Sc 3.11, 4 In 3.44

Results
DOS(E_F): 3.8 states/eV per cell
magnetic moment: 0.000 μB per atom
distance to the lowest polymorph of the same formula: 0.0398 eV per atom
E_form: -0.215 eV/atom

=====

A geometry-optimized InHg6Bi2 structure. Source: Alexandria, functional PBE.

a = 14.7164 Å, b = 10.1414 Å, c = 6.9714 Å
α = 90.00°, β = 96.54°, γ = 90.00°
Closest atoms and distances in Å follow each position.
Space group C2/c (No. 15)
Symmetry-distinct sites (fractional):
In (0.0000, 0.0799, 0.2500) (multiplicity 4)  6 Hg 3.10-3.24
Hg (0.0796, 0.4462, 0.3900) (multiplicity 8)  4 Hg 2.87-3.19, 1 Bi 3.05
Hg (0.0900, 0.1973, 0.6380) (multiplicity 8)  3 Hg 3.05-3.22, 2 In 3.11-3.24, 1 Bi 3.30
Hg (0.1481, 0.2475, 0.0812) (multiplicity 8)  1 In 3.10, 3 Hg 3.15-3.33, 3 Bi 3.17-3.33
Bi (0.2341, 0.0101, 0.3774) (multiplicity 8)  5 Hg 3.05-3.33

Results
DOS(E_F): 10.1 states/eV per cell
magnetic moment: 0.000 μB per atom
E_form: 0.075 eV/atom

=====

- Which value of DOS(E_F) does entry 2 give?
  10.1 states/eV per cell

=====

- Which formula does entry 1 have?
  SmSc2In

=====

- What is the DOS(E_F) in the second record?
  10.1 states/eV per cell

=====

- Among the records above, which one has the highest DOS(E_F)?
  InHg6Bi2